Arrangement A

Compound: CaZrI2O
Source: Alexandria via LeMat-Bulk
Functional: PBE-GGA
Structure: optimized geometry

abc: 6.0151 6.0151 4.0386
angles: 90.00 90.00 90.00
With the nearest neighbours (Å) after each atom.
Positions (direct):
Ca 0.0000 0.0000 0.0000  8 I 3.62, 2 Ca 4.04
Zr 0.5000 0.5000 0.5000  2 O 2.02
I 0.0000 0.5000 0.5000  2 Zr 3.01
I 0.5000 0.0000 0.5000  2 Zr 3.01
O 0.5000 0.5000 0.0000  2 Zr 2.02

Computed properties:
Total moment, μB per atom: 0.120
V, Å³/f.u.: 146.1
Symmetry: P4/mmm (123)

=====

Arrangement B

Compound: CaZrI2O
Source: Alexandria via LeMat-Bulk
Functional: PBE-GGA
Structure: optimized geometry

abc: 6.0135 6.0135 4.0610
angles: 90.00 90.00 90.00
With the nearest neighbours (Å) after each atom.
Positions (direct):
Ca 0.0000 0.0000 0.0000  2 O 2.03
Zr 0.5000 0.5000 0.5000  8 I 3.63, 2 Zr 4.06
I 0.0000 0.5000 0.0000  2 Ca 3.01
I 0.5000 0.0000 0.0000  2 Ca 3.01
O 0.0000 0.0000 0.5000  2 Ca 2.03

Computed properties:
Total moment, μB per atom: 0.373
V, Å³/f.u.: 146.9
Symmetry: P4/mmm (123)

=====

It is arrangement A that is the most stable of them.

=====

Arrangement A

Compound: CaOs2I
Source: Alexandria via LeMat-Bulk
Functional: PBE-GGA
Structure: optimized geometry

abc: 6.6617 6.6617 6.6617
angles: 90.00 90.00 90.00
With the nearest neighbours (Å) after each atom.
Positions (direct):
Ca 0.0000 0.0000 0.0000  8 Os 2.88
Ca 0.0000 0.5000 0.5000  8 Os 2.88
Ca 0.5000 0.0000 0.5000  8 Os 2.88
Ca 0.5000 0.5000 0.0000  8 Os 2.88
Os 0.2500 0.2500 0.2500  4 Ca 2.88, 4 I 2.88
Os 0.2500 0.2500 0.7500  4 Ca 2.88, 4 I 2.88
Os 0.2500 0.7500 0.2500  4 Ca 2.88, 4 I 2.88
Os 0.2500 0.7500 0.7500  4 Ca 2.88, 4 I 2.88
Os 0.7500 0.2500 0.2500  4 Ca 2.88, 4 I 2.88
Os 0.7500 0.2500 0.7500  4 Ca 2.88, 4 I 2.88
Os 0.7500 0.7500 0.2500  4 Ca 2.88, 4 I 2.88
Os 0.7500 0.7500 0.7500  4 Ca 2.88, 4 I 2.88
I 0.0000 0.0000 0.5000  8 Os 2.88
I 0.0000 0.5000 0.0000  8 Os 2.88
I 0.5000 0.0000 0.0000  8 Os 2.88
I 0.5000 0.5000 0.5000  8 Os 2.88

Computed properties:
Total moment, μB per atom: 0.000
V, Å³/f.u.: 73.9
Symmetry: Fm-3m (225)

=====

Arrangement B

Compound: CaOs2I
Source: Alexandria via LeMat-Bulk
Functional: PBE-GGA
Structure: optimized geometry

abc: 8.0495 8.0495 5.4132
angles: 90.00 90.00 90.00
With the nearest neighbours (Å) after each atom.
Positions (direct):
Ca 0.0000 0.0000 0.0000  2 I 2.71
Ca 0.0000 0.5000 0.2500  2 I 2.71
Ca 0.5000 0.0000 0.7500  2 I 2.71
Ca 0.5000 0.5000 0.5000  2 I 2.71
Os 0.2034 0.2500 0.6250  2 I 2.68, 2 Os 2.81
Os 0.2500 0.7034 0.8750  2 I 2.68, 2 Os 2.81
Os 0.2500 0.7966 0.3750  2 I 2.68, 2 Os 2.81
Os 0.2966 0.2500 0.1250  2 I 2.68, 2 Os 2.81
Os 0.7034 0.7500 0.1250  2 I 2.68, 2 Os 2.81
Os 0.7500 0.2034 0.3750  2 I 2.68, 2 Os 2.81
Os 0.7500 0.2966 0.8750  2 I 2.68, 2 Os 2.81
Os 0.7966 0.7500 0.6250  2 I 2.68, 2 Os 2.81
I 0.0000 0.0000 0.5000  4 Os 2.68, 2 Ca 2.71
I 0.0000 0.5000 0.7500  4 Os 2.68, 2 Ca 2.71
I 0.5000 0.0000 0.2500  4 Os 2.68, 2 Ca 2.71
I 0.5000 0.5000 0.0000  4 Os 2.68, 2 Ca 2.71

Computed properties:
Total moment, μB per atom: 0.000
V, Å³/f.u.: 87.7
Symmetry: I-42d (122)

=====

It is arrangement A that is the most stable of them.

=====

Arrangement A

Compound: Ca3PI
Source: Alexandria via LeMat-Bulk
Functional: PBE-GGA
Structure: optimized geometry

abc: 5.5902 5.5902 5.5902
angles: 90.00 90.00 90.00
With the nearest neighbours (Å) after each atom.
Positions (direct):
Ca 0.0000 0.0000 0.5000  2 P 2.80
Ca 0.0000 0.5000 0.0000  2 P 2.80
Ca 0.5000 0.0000 0.0000  2 P 2.80
P 0.0000 0.0000 0.0000  6 Ca 2.80
I 0.5000 0.5000 0.5000  12 Ca 3.95

Computed properties:
Total moment, μB per atom: 0.000
V, Å³/f.u.: 174.7
Symmetry: Pm-3m (221)

=====

Arrangement B

Compound: Ca3PI
Source: Alexandria via LeMat-Bulk
Functional: PBE-GGA
Structure: optimized geometry

abc: 7.6782 7.6782 7.7714
angles: 111.98 111.98 57.27
With the nearest neighbours (Å) after each atom.
Positions (direct):
Ca 0.0594 0.0594 0.2514  2 P 2.84-2.88
Ca 0.0761 0.5729 0.2670  2 P 2.85-2.87
Ca 0.4271 0.9239 0.7330  2 P 2.85-2.87
Ca 0.5729 0.0761 0.2670  2 P 2.85-2.87
Ca 0.9239 0.4271 0.7330  2 P 2.85-2.87
Ca 0.9406 0.9406 0.7486  2 P 2.84-2.88
P 0.1693 0.1693 0.0111  6 Ca 2.84-2.88
P 0.8307 0.8307 0.9889  6 Ca 2.84-2.88
I 0.4615 0.4615 0.7121  6 Ca 3.36-3.71
I 0.5385 0.5385 0.2879  6 Ca 3.36-3.71

Computed properties:
Total moment, μB per atom: 0.000
V, Å³/f.u.: 174.3
Symmetry: C2/m (12)

=====

It is arrangement B that is the most stable of them.

=====

Arrangement A

Compound: Ca2PI
Source: Alexandria via LeMat-Bulk
Functional: PBE-GGA
Structure: optimized geometry

abc: 4.3061 4.3061 22.4331
angles: 90.00 90.00 120.00
With the nearest neighbours (Å) after each atom.
Positions (direct):
Ca 0.0000 0.0000 0.2295  3 P 2.86
Ca 0.0000 0.0000 0.7705  3 P 2.86
Ca 0.3333 0.6667 0.4371  3 P 2.86
Ca 0.3333 0.6667 0.8962  3 P 2.86
Ca 0.6667 0.3333 0.1038  3 P 2.86
Ca 0.6667 0.3333 0.5629  3 P 2.86
P 0.0000 0.0000 0.5000  6 Ca 2.86
P 0.3333 0.6667 0.1667  6 Ca 2.86
P 0.6667 0.3333 0.8333  6 Ca 2.86
I 0.0000 0.0000 0.0000  6 Ca 3.41
I 0.3333 0.6667 0.6667  6 Ca 3.41
I 0.6667 0.3333 0.3333  6 Ca 3.41

Computed properties:
Total moment, μB per atom: 0.000
V, Å³/f.u.: 120.1
Symmetry: R-3m (166)

=====

Arrangement B

Compound: Ca2PI
Source: Alexandria via LeMat-Bulk
Functional: PBE-GGA
Structure: optimized geometry

abc: 4.2690 4.2690 23.1456
angles: 90.00 90.00 120.00
With the nearest neighbours (Å) after each atom.
Positions (direct):
Ca 0.0000 0.0000 0.0000  3 P 2.85
Ca 0.0000 0.0000 0.2090  3 P 2.85
Ca 0.3333 0.6667 0.6667  3 P 2.85
Ca 0.3333 0.6667 0.8757  3 P 2.85
Ca 0.6667 0.3333 0.3333  3 P 2.85
Ca 0.6667 0.3333 0.5423  3 P 2.85
P 0.0000 0.0000 0.6044  6 Ca 2.85
P 0.3333 0.6667 0.2711  6 Ca 2.85
P 0.6667 0.3333 0.9378  6 Ca 2.85
I 0.0000 0.0000 0.7754  6 Ca 3.38-3.52
I 0.3333 0.6667 0.4421  6 Ca 3.38-3.52
I 0.6667 0.3333 0.1088  6 Ca 3.38-3.52

Computed properties:
Total moment, μB per atom: 0.000
V, Å³/f.u.: 121.8
Symmetry: R3m (160)

=====

Arrangement C

Compound: Ca2PI
Source: Alexandria via LeMat-Bulk
Functional: PBE-GGA
Structure: optimized geometry

abc: 7.5309 7.5309 7.5309
angles: 90.00 90.00 90.00
With the nearest neighbours (Å) after each atom.
Positions (direct):
Ca 0.2500 0.2500 0.2500  4 I 3.26, 4 P 3.26
Ca 0.2500 0.2500 0.7500  4 I 3.26, 4 P 3.26
Ca 0.2500 0.7500 0.2500  4 I 3.26, 4 P 3.26
Ca 0.2500 0.7500 0.7500  4 I 3.26, 4 P 3.26
Ca 0.7500 0.2500 0.2500  4 I 3.26, 4 P 3.26
Ca 0.7500 0.2500 0.7500  4 I 3.26, 4 P 3.26
Ca 0.7500 0.7500 0.2500  4 I 3.26, 4 P 3.26
Ca 0.7500 0.7500 0.7500  4 I 3.26, 4 P 3.26
P 0.0000 0.0000 0.0000  8 Ca 3.26
P 0.0000 0.5000 0.5000  8 Ca 3.26
P 0.5000 0.0000 0.5000  8 Ca 3.26
P 0.5000 0.5000 0.0000  8 Ca 3.26
I 0.0000 0.0000 0.5000  8 Ca 3.26
I 0.0000 0.5000 0.0000  8 Ca 3.26
I 0.5000 0.0000 0.0000  8 Ca 3.26
I 0.5000 0.5000 0.5000  8 Ca 3.26

Computed properties:
Total moment, μB per atom: 0.000
V, Å³/f.u.: 106.8
Symmetry: Fm-3m (225)

=====

Arrangement D

Compound: Ca2PI
Source: Alexandria via LeMat-Bulk
Functional: PBE-GGA
Structure: optimized geometry

abc: 6.9637 6.9637 13.1874
angles: 90.00 90.00 90.00
With the nearest neighbours (Å) after each atom.
Positions (direct):
Ca 0.1835 0.2500 0.1250  2 P 2.72
Ca 0.2500 0.6835 0.3750  2 P 2.72
Ca 0.2500 0.8165 0.8750  2 P 2.72
Ca 0.3165 0.2500 0.6250  2 P 2.72
Ca 0.6835 0.7500 0.6250  2 P 2.72
Ca 0.7500 0.1835 0.8750  2 P 2.72
Ca 0.7500 0.3165 0.3750  2 P 2.72
Ca 0.8165 0.7500 0.1250  2 P 2.72
P 0.0000 0.0000 0.0000  4 Ca 2.72
P 0.0000 0.5000 0.2500  4 Ca 2.72
P 0.5000 0.0000 0.7500  4 Ca 2.72
P 0.5000 0.5000 0.5000  4 Ca 2.72
I 0.0000 0.0000 0.5000  4 Ca 3.26
I 0.0000 0.5000 0.7500  4 Ca 3.26
I 0.5000 0.0000 0.2500  4 Ca 3.26
I 0.5000 0.5000 0.0000  4 Ca 3.26

Computed properties:
Total moment, μB per atom: 0.000
V, Å³/f.u.: 159.9
Symmetry: I-42d (122)

=====

It is arrangement A that is the most stable of them.

=====

Arrangement A

Compound: CaTe2PI
Source: Alexandria via LeMat-Bulk
Functional: PBE-GGA
Structure: optimized geometry

abc: 6.1105 6.1105 5.9321
angles: 90.00 90.00 90.00
With the nearest neighbours (Å) after each atom.
Positions (direct):
Ca 0.0000 0.0000 0.0000  2 I 2.97, 4 Te 3.06
Te 0.0000 0.5000 0.0000  2 Ca 3.06
Te 0.5000 0.0000 0.0000  2 Ca 3.06
P 0.5000 0.5000 0.5000  8 Te 4.26, 4 I 4.32
I 0.0000 0.0000 0.5000  2 Ca 2.97

Computed properties:
Total moment, μB per atom: 0.015
V, Å³/f.u.: 221.5
Symmetry: P4/mmm (123)

=====

Arrangement B

Compound: CaTe2PI
Source: Alexandria via LeMat-Bulk
Functional: PBE-GGA
Structure: optimized geometry

abc: 5.3934 5.3934 5.3994
angles: 90.00 90.00 90.00
With the nearest neighbours (Å) after each atom.
Positions (direct):
Ca 0.0000 0.0000 0.0000  4 I 3.81, 8 Te 3.82
Te 0.0000 0.5000 0.5000  2 P 2.70
Te 0.5000 0.0000 0.5000  2 P 2.70
P 0.5000 0.5000 0.5000  4 Te 2.70, 2 I 2.70
I 0.5000 0.5000 0.0000  2 P 2.70

Computed properties:
Total moment, μB per atom: 0.000
V, Å³/f.u.: 157.1
Symmetry: P4/mmm (123)

=====

It is arrangement B that is the most stable of them.

=====

Arrangement A

Compound: CaPb2I
Source: Alexandria via LeMat-Bulk
Functional: PBE-GGA
Structure: optimized geometry

abc: 8.1388 8.1388 8.1388
angles: 90.00 90.00 90.00
With the nearest neighbours (Å) after each atom.
Positions (direct):
Ca 0.0000 0.0000 0.0000  8 Pb 3.52
Ca 0.0000 0.5000 0.5000  8 Pb 3.52
Ca 0.5000 0.0000 0.5000  8 Pb 3.52
Ca 0.5000 0.5000 0.0000  8 Pb 3.52
Pb 0.2500 0.2500 0.2500  4 Ca 3.52, 4 I 3.52
Pb 0.2500 0.2500 0.7500  4 Ca 3.52, 4 I 3.52
Pb 0.2500 0.7500 0.2500  4 Ca 3.52, 4 I 3.52
Pb 0.2500 0.7500 0.7500  4 Ca 3.52, 4 I 3.52
Pb 0.7500 0.2500 0.2500  4 Ca 3.52, 4 I 3.52
Pb 0.7500 0.2500 0.7500  4 Ca 3.52, 4 I 3.52
Pb 0.7500 0.7500 0.2500  4 Ca 3.52, 4 I 3.52
Pb 0.7500 0.7500 0.7500  4 Ca 3.52, 4 I 3.52
I 0.0000 0.0000 0.5000  8 Pb 3.52
I 0.0000 0.5000 0.0000  8 Pb 3.52
I 0.5000 0.0000 0.0000  8 Pb 3.52
I 0.5000 0.5000 0.5000  8 Pb 3.52

Computed properties:
Total moment, μB per atom: 0.000
V, Å³/f.u.: 134.8
Symmetry: Fm-3m (225)

=====

Arrangement B

Compound: CaPb2I
Source: Alexandria via LeMat-Bulk
Functional: PBE-GGA
Structure: optimized geometry

abc: 9.8097 9.8097 6.2097
angles: 90.00 90.00 90.00
With the nearest neighbours (Å) after each atom.
Positions (direct):
Ca 0.0000 0.0000 0.0000  2 I 3.10, 4 Pb 3.42
Ca 0.0000 0.5000 0.2500  2 I 3.10, 4 Pb 3.42
Ca 0.5000 0.0000 0.7500  2 I 3.10, 4 Pb 3.42
Ca 0.5000 0.5000 0.5000  2 I 3.10, 4 Pb 3.42
Pb 0.2296 0.7500 0.1250  2 Pb 3.13, 2 Ca 3.42
Pb 0.2500 0.2296 0.8750  2 Pb 3.13, 2 Ca 3.42
Pb 0.2500 0.2704 0.3750  2 Pb 3.13, 2 Ca 3.42
Pb 0.2704 0.7500 0.6250  2 Pb 3.13, 2 Ca 3.42
Pb 0.7296 0.2500 0.6250  2 Pb 3.13, 2 Ca 3.42
Pb 0.7500 0.7296 0.3750  2 Pb 3.13, 2 Ca 3.42
Pb 0.7500 0.7704 0.8750  2 Pb 3.13, 2 Ca 3.42
Pb 0.7704 0.2500 0.1250  2 Pb 3.13, 2 Ca 3.42
I 0.0000 0.0000 0.5000  2 Ca 3.10
I 0.0000 0.5000 0.7500  2 Ca 3.10
I 0.5000 0.0000 0.2500  2 Ca 3.10
I 0.5000 0.5000 0.0000  2 Ca 3.10

Computed properties:
Total moment, μB per atom: 0.000
V, Å³/f.u.: 149.4
Symmetry: I-42d (122)

=====

It is arrangement B that is the most stable of them.